Entry 1:
{"formula": "LiLa2Hf", "functional": "PBE", "state": "optimized geometry", "cell": [[4.526, 0.000, 0.000], [0.000, 4.526, 0.000], [2.263, 2.263, 10.854]], "species": ["Hf", "La", "La", "La", "Li", "Hf", "La", "Li"], "fractional_positions": [[0.750, 0.250, 0.500], [0.875, 0.855, 0.750], [0.605, 0.125, 0.250], [0.145, 0.625, 0.250], [0.500, 0.500, 0.000], [0.000, 0.000, 0.000], [0.375, 0.395, 0.750], [0.250, 0.750, 0.500]], "polymorph_energy_mev_per_atom": 506, "crystal_system": "tetragonal", "delta_e_f_mev_per_atom": 652, "space_group": "I-42d, No. 122", "final_energy_ev_per_cell": -38.23}


Entry 2:
{"formula": "PmGaCo4", "functional": "PBE", "state": "optimized geometry", "cell": [[-1.533, -0.831, 3.570], [-6.073, -3.246, -3.363], [2.953, -5.510, -0.015]], "species": ["Co", "Co", "Pm", "Co", "Co", "Ga", "Co", "Pm", "Co", "Co", "Ga", "Co"], "fractional_positions": [[0.500, 0.959, 0.750], [0.500, 0.041, 0.250], [0.000, 0.647, 0.750], [0.000, 0.000, 0.500], [0.500, 0.224, 0.958], [0.000, 0.751, 0.250], [0.500, 0.776, 0.042], [0.000, 0.353, 0.250], [0.500, 0.776, 0.458], [0.500, 0.224, 0.542], [0.000, 0.249, 0.750], [0.000, 0.000, 0.000]], "polymorph_energy_mev_per_atom": 99, "crystal_system": "orthorhombic", "delta_e_f_mev_per_atom": 4, "space_group": "Pmma, No. 51", "final_energy_ev_per_cell": -72.35}


Entry 3:
{"formula": "TaGaRh2", "functional": "PBE", "state": "optimized geometry", "cell": [[6.892, 0.000, 0.000], [0.000, 6.892, 0.000], [3.446, 3.446, 2.822]], "species": ["Ga", "Rh", "Rh", "Ga", "Ta", "Rh", "Rh", "Ta"], "fractional_positions": [[0.250, 0.750, 0.500], [0.627, 0.125, 0.250], [0.123, 0.625, 0.250], [0.500, 0.500, 0.000], [0.750, 0.250, 0.500], [0.375, 0.373, 0.750], [0.875, 0.877, 0.750], [0.000, 0.000, 0.000]], "crystal_system": "tetragonal", "delta_e_f_mev_per_atom": -72, "space_group": "I-42d, No. 122", "final_energy_ev_per_cell": -59.74}